(1)
First-principles (GGA-PBE) data for a relaxed LiReAg2 crystal, as listed in Alexandria via LeMat-Bulk.

Cell and atoms, written as CIF:
```
data_LiReAg2
_chemical_formula_sum 'Li1 Re1 Ag2'
_symmetry_space_group_name_H-M 'P 1'
_symmetry_Int_Tables_number 1
_cell_length_a 5.050
_cell_length_b 5.050
_cell_length_c 2.647
_cell_angle_alpha 90.01
_cell_angle_beta 90.01
_cell_angle_gamma 107.38
loop_
_symmetry_equiv_pos_as_xyz
'x,y,z'
loop_
_atom_site_label
_atom_site_fract_x
_atom_site_fract_y
_atom_site_fract_z
Li1 0.500 0.000 0.500
Re1 0.000 0.500 0.500
Ag1 0.000 0.000 0.000
Ag2 0.500 0.500 0.000
```

Results
Energy above the most stable polymorph in this dataset ... 0.28 eV per formula unit
Energy of formation from the pure elements ... 0.364 eV per atom

---

(2)
First-principles (GGA-PBE) data for a relaxed Ge2AsPd2 crystal, as listed in Alexandria via LeMat-Bulk.

Cell and atoms, written as CIF:
```
data_Ge2AsPd2
_chemical_formula_sum 'Ge4 As2 Pd4'
_symmetry_space_group_name_H-M 'P 1'
_symmetry_Int_Tables_number 1
_cell_length_a 7.605
_cell_length_b 7.605
_cell_length_c 2.977
_cell_angle_alpha 90.00
_cell_angle_beta 90.00
_cell_angle_gamma 90.00
loop_
_symmetry_equiv_pos_as_xyz
'x,y,z'
loop_
_atom_site_label
_atom_site_fract_x
_atom_site_fract_y
_atom_site_fract_z
Pd1 0.131 0.631 0.500
Pd2 0.869 0.369 0.500
Ge1 0.337 0.837 0.000
Ge2 0.837 0.663 0.000
As1 0.000 0.000 0.000
Pd3 0.631 0.869 0.500
Pd4 0.369 0.131 0.500
Ge3 0.663 0.163 0.000
As2 0.500 0.500 0.000
Ge4 0.163 0.337 0.000
```

Results
Energy above the most stable polymorph in this dataset ... 0.47 eV per formula unit
Energy of formation from the pure elements ... -0.042 eV per atom

---

(3)
First-principles (GGA-PBE) data for a relaxed LiAl3Ga3 crystal, as listed in Alexandria via LeMat-Bulk.

Cell and atoms, written as CIF:
```
data_LiAl3Ga3
_chemical_formula_sum 'Li2 Al6 Ga6'
_symmetry_space_group_name_H-M 'P 1'
_symmetry_Int_Tables_number 1
_cell_length_a 4.274
_cell_length_b 9.647
_cell_length_c 9.650
_cell_angle_alpha 119.96
_cell_angle_beta 90.00
_cell_angle_gamma 90.00
loop_
_symmetry_equiv_pos_as_xyz
'x,y,z'
loop_
_atom_site_label
_atom_site_fract_x
_atom_site_fract_y
_atom_site_fract_z
Al1 0.250 0.001 0.603
Al2 0.250 0.397 0.398
Al3 0.750 0.603 0.602
Al4 0.750 0.398 0.001
Li1 0.750 0.333 0.666
Al5 0.750 0.999 0.397
Ga1 0.750 0.457 0.283
Ga2 0.250 0.543 0.717
Li2 0.250 0.667 0.334
Ga3 0.750 0.827 0.544
Ga4 0.750 0.717 0.173
Ga5 0.250 0.173 0.456
Ga6 0.250 0.283 0.827
Al6 0.250 0.602 0.999
```

Results
Energy above the most stable polymorph in this dataset ... 0.63 eV per formula unit
Energy of formation from the pure elements ... 0.082 eV per atom

---

(4)
First-principles (GGA-PBE) data for a relaxed CsSrP crystal, as listed in Alexandria via LeMat-Bulk.

Cell and atoms, written as CIF:
```
data_CsSrP
_chemical_formula_sum 'Cs2 Sr2 P2'
_symmetry_space_group_name_H-M 'P 1'
_symmetry_Int_Tables_number 1
_cell_length_a 13.327
_cell_length_b 5.673
_cell_length_c 4.533
_cell_angle_alpha 113.32
_cell_angle_beta 97.30
_cell_angle_gamma 84.30
loop_
_symmetry_equiv_pos_as_xyz
'x,y,z'
loop_
_atom_site_label
_atom_site_fract_x
_atom_site_fract_y
_atom_site_fract_z
Cs1 0.673 0.860 0.008
P1 0.433 0.982 0.482
Sr1 0.275 0.870 0.868
P2 0.292 0.268 0.571
Sr2 0.441 0.388 0.187
Cs2 0.014 0.328 0.484
```

Results
Energy of formation from the pure elements ... -0.534 eV per atom

---

(5)
First-principles (GGA-PBE) data for a relaxed Al2TlVCl8 crystal, as listed in Alexandria via LeMat-Bulk.

Cell and atoms, written as CIF:
```
data_Al2TlVCl8
_chemical_formula_sum 'Al2 Tl1 V1 Cl8'
_symmetry_space_group_name_H-M 'P 1'
_symmetry_Int_Tables_number 1
_cell_length_a 6.343
_cell_length_b 6.343
_cell_length_c 10.261
_cell_angle_alpha 72.00
_cell_angle_beta 72.00
_cell_angle_gamma 60.00
loop_
_symmetry_equiv_pos_as_xyz
'x,y,z'
loop_
_atom_site_label
_atom_site_fract_x
_atom_site_fract_y
_atom_site_fract_z
Cl1 0.820 0.820 0.541
Tl1 0.500 0.500 0.500
Cl2 0.042 0.390 0.837
Al1 0.745 0.745 0.765
Cl3 0.390 0.731 0.837
Cl4 0.731 0.042 0.837
Cl5 0.269 0.958 0.163
Cl6 0.610 0.269 0.163
Cl7 0.958 0.610 0.163
Cl8 0.180 0.180 0.459
V1 0.000 0.000 0.000
Al2 0.255 0.255 0.235
```

---

(6)
First-principles (GGA-PBE) data for a relaxed Mn2AgCl8 crystal, as listed in Alexandria via LeMat-Bulk.

Cell and atoms, written as CIF:
```
data_Mn2AgCl8
_chemical_formula_sum 'Mn2 Ag1 Cl8'
_symmetry_space_group_name_H-M 'P 1'
_symmetry_Int_Tables_number 1
_cell_length_a 3.557
_cell_length_b 9.715
_cell_length_c 14.012
_cell_angle_alpha 102.37
_cell_angle_beta 139.50
_cell_angle_gamma 77.71
loop_
_symmetry_equiv_pos_as_xyz
'x,y,z'
loop_
_atom_site_label
_atom_site_fract_x
_atom_site_fract_y
_atom_site_fract_z
Cl1 0.536 0.082 0.696
Cl2 0.651 0.705 0.493
Mn1 0.937 0.744 0.262
Cl3 0.631 0.420 0.792
Ag1 0.500 0.000 0.000
Cl4 0.834 0.210 0.986
Cl5 0.349 0.295 0.507
Cl6 0.464 0.918 0.304
Cl7 0.166 0.790 0.014
Cl8 0.369 0.580 0.208
Mn2 0.063 0.256 0.738
```

Results
Energy above the most stable polymorph in this dataset ... 0.00 eV per formula unit

---

(7)
First-principles (GGA-PBE) data for a relaxed YTl2Cl crystal, as listed in Alexandria via LeMat-Bulk.

Cell and atoms, written as CIF:
```
data_YTl2Cl
_chemical_formula_sum 'Y1 Tl2 Cl1'
_symmetry_space_group_name_H-M 'P 1'
_symmetry_Int_Tables_number 1
_cell_length_a 3.444
_cell_length_b 3.444
_cell_length_c 9.882
_cell_angle_alpha 90.00
_cell_angle_beta 90.00
_cell_angle_gamma 90.00
loop_
_symmetry_equiv_pos_as_xyz
'x,y,z'
loop_
_atom_site_label
_atom_site_fract_x
_atom_site_fract_y
_atom_site_fract_z
Y1 0.000 0.000 0.513
Cl1 0.500 0.500 0.670
Tl1 0.500 0.500 0.284
Tl2 0.000 0.000 0.032
```

Results
Energy above the most stable polymorph in this dataset ... 0.13 eV per formula unit

---

(8)
First-principles (GGA-PBE) data for a relaxed Cd3Hg5Sb12 crystal, as listed in Alexandria via LeMat-Bulk.

Cell and atoms, written as CIF:
```
data_Cd3Hg5Sb12
_chemical_formula_sum 'Cd12 Hg20 Sb48'
_symmetry_space_group_name_H-M 'P 1'
_symmetry_Int_Tables_number 1
_cell_length_a 15.412
_cell_length_b 15.412
_cell_length_c 15.412
_cell_angle_alpha 109.47
_cell_angle_beta 109.47
_cell_angle_gamma 109.47
loop_
_symmetry_equiv_pos_as_xyz
'x,y,z'
loop_
_atom_site_label
_atom_site_fract_x
_atom_site_fract_y
_atom_site_fract_z
Hg1 0.500 0.000 0.000
Sb1 0.426 0.155 0.577
Cd1 0.125 0.875 0.750
Hg2 0.500 0.500 0.000
Sb2 0.770 0.348 0.926
Hg3 0.750 0.625 0.375
Sb3 0.078 0.423 0.848
Sb4 0.574 0.845 0.423
Hg4 0.500 0.500 0.500
Hg5 0.750 0.125 0.875
Sb5 0.848 0.926 0.270
Hg6 0.000 0.000 0.000
Cd2 0.875 0.125 0.250
Sb6 0.230 0.578 0.655
Sb7 0.655 0.078 0.230
Sb8 0.155 0.730 0.578
Hg7 0.375 0.125 0.750
Hg8 0.375 0.250 0.125
Sb9 0.348 0.770 0.426
Hg9 0.250 0.375 0.625
Hg10 0.125 0.375 0.250
Sb10 0.577 0.922 0.652
Sb11 0.423 0.078 0.348
Hg11 0.000 0.000 0.500
Sb12 0.770 0.422 0.345
Sb13 0.845 0.574 0.923
Sb14 0.074 0.923 0.345
Sb15 0.230 0.652 0.074
Sb16 0.155 0.426 0.077
Sb17 0.578 0.230 0.155
Sb18 0.923 0.074 0.845
Hg12 0.625 0.875 0.250
Hg13 0.125 0.750 0.375
Sb19 0.926 0.077 0.655
Cd3 0.750 0.375 0.125
Cd4 0.250 0.125 0.375
Sb20 0.422 0.652 0.077
Hg14 0.000 0.500 0.000
Sb21 0.652 0.230 0.574
Sb22 0.922 0.577 0.152
Sb23 0.078 0.655 0.730
Sb24 0.077 0.926 0.155
Sb25 0.345 0.922 0.770
Sb26 0.922 0.345 0.270
Cd5 0.250 0.625 0.875
Cd6 0.750 0.875 0.625
Cd7 0.125 0.250 0.875
Sb27 0.923 0.848 0.578
Sb28 0.423 0.345 0.574
Sb29 0.270 0.845 0.922
Sb30 0.348 0.578 0.423
Sb31 0.345 0.423 0.074
Cd8 0.625 0.375 0.750
Sb32 0.077 0.152 0.422
Hg15 0.500 0.000 0.500
Sb33 0.730 0.574 0.152
Sb34 0.426 0.270 0.348
Sb35 0.845 0.270 0.422
Sb36 0.152 0.074 0.730
Sb37 0.848 0.923 0.078
Sb38 0.578 0.348 0.923
Cd9 0.875 0.750 0.125
Sb39 0.574 0.730 0.652
Hg16 0.000 0.500 0.500
Sb40 0.730 0.155 0.078
Sb41 0.926 0.848 0.770
Cd10 0.375 0.750 0.625
Cd11 0.625 0.250 0.375
Sb42 0.074 0.152 0.230
Cd12 0.375 0.625 0.250
Sb43 0.652 0.422 0.577
Sb44 0.152 0.077 0.922
Sb45 0.577 0.655 0.426
Sb46 0.422 0.770 0.845
Sb47 0.655 0.577 0.926
Hg17 0.875 0.625 0.750
Hg18 0.250 0.875 0.125
Sb48 0.270 0.426 0.848
Hg19 0.875 0.250 0.625
Hg20 0.625 0.750 0.875
```

---

(9)
First-principles (GGA-PBE) data for a relaxed La5Tb2NdHo crystal, as listed in Alexandria via LeMat-Bulk.

Cell and atoms, written as CIF:
```
data_La5Tb2NdHo
_chemical_formula_sum 'La10 Tb4 Nd2 Ho2'
_symmetry_space_group_name_H-M 'P 1'
_symmetry_Int_Tables_number 1
_cell_length_a 9.533
_cell_length_b 9.533
_cell_length_c 9.810
_cell_angle_alpha 119.07
_cell_angle_beta 119.07
_cell_angle_gamma 90.00
loop_
_symmetry_equiv_pos_as_xyz
'x,y,z'
loop_
_atom_site_label
_atom_site_fract_x
_atom_site_fract_y
_atom_site_fract_z
La1 0.067 0.567 0.730
Tb1 0.392 0.892 0.000
La2 0.837 0.933 0.270
La3 0.337 0.837 0.270
Ho1 0.750 0.250 0.500
Tb2 0.108 0.392 0.000
La4 0.663 0.163 0.730
La5 0.000 0.000 0.000
La6 0.933 0.433 0.270
La7 0.500 0.500 0.000
Tb3 0.608 0.108 0.000
La8 0.163 0.067 0.730
Nd1 0.750 0.750 0.500
Ho2 0.250 0.750 0.500
Nd2 0.250 0.250 0.500
Tb4 0.892 0.608 0.000
La9 0.433 0.337 0.270
La10 0.567 0.663 0.730
```

Results
Energy of formation from the pure elements ... 0.281 eV per atom

---

(10)
First-principles (GGA-PBE) data for a relaxed CrWAuI2 crystal, as listed in Alexandria via LeMat-Bulk.

Cell and atoms, written as CIF:
```
data_CrWAuI2
_chemical_formula_sum 'Cr1 W1 Au1 I2'
_symmetry_space_group_name_H-M 'P 1'
_symmetry_Int_Tables_number 1
_cell_length_a 5.692
_cell_length_b 5.692
_cell_length_c 5.154
_cell_angle_alpha 90.00
_cell_angle_beta 90.00
_cell_angle_gamma 90.00
loop_
_symmetry_equiv_pos_as_xyz
'x,y,z'
loop_
_atom_site_label
_atom_site_fract_x
_atom_site_fract_y
_atom_site_fract_z
W1 0.500 0.500 0.500
Au1 0.000 0.000 0.000
Cr1 0.000 0.000 0.500
I1 0.000 0.500 0.000
I2 0.500 0.000 0.000
```

---

(11)
First-principles (GGA-PBE) data for a relaxed LaYSc2 crystal, as listed in Alexandria via LeMat-Bulk.

Cell and atoms, written as CIF:
```
data_LaYSc2
_chemical_formula_sum 'La1 Y1 Sc2'
_symmetry_space_group_name_H-M 'P 1'
_symmetry_Int_Tables_number 1
_cell_length_a 6.513
_cell_length_b 6.513
_cell_length_c 6.513
_cell_angle_alpha 145.87
_cell_angle_beta 129.66
_cell_angle_gamma 62.22
loop_
_symmetry_equiv_pos_as_xyz
'x,y,z'
loop_
_atom_site_label
_atom_site_fract_x
_atom_site_fract_y
_atom_site_fract_z
Sc1 0.016 0.016 0.000
Y1 0.485 0.485 0.000
La1 0.761 0.261 0.500
Sc2 0.238 0.738 0.500
```

Results
Energy above the most stable polymorph in this dataset ... 0.15 eV per formula unit
Energy of formation from the pure elements ... 0.089 eV per atom

---

(12)
First-principles (GGA-PBE) data for a relaxed Ce8Ge3P4 crystal, as listed in Alexandria via LeMat-Bulk.

Cell and atoms, written as CIF:
```
data_Ce8Ge3P4
_chemical_formula_sum 'Ce8 Ge3 P4'
_symmetry_space_group_name_H-M 'P 1'
_symmetry_Int_Tables_number 1
_cell_length_a 8.254
_cell_length_b 8.294
_cell_length_c 8.294
_cell_angle_alpha 89.99
_cell_angle_beta 119.86
_cell_angle_gamma 119.86
loop_
_symmetry_equiv_pos_as_xyz
'x,y,z'
loop_
_atom_site_label
_atom_site_fract_x
_atom_site_fract_y
_atom_site_fract_z
P1 0.000 0.000 0.500
Ce1 0.500 0.753 0.247
Ce2 0.490 0.241 0.241
Ce3 0.510 0.759 0.759
Ge1 0.500 0.500 0.000
Ge2 0.500 0.500 0.500
P2 0.500 0.000 0.000
Ge3 0.500 0.000 0.500
P3 0.000 0.500 0.000
Ce4 0.000 0.755 0.245
Ce5 0.007 0.759 0.759
Ce6 0.993 0.241 0.241
Ce7 0.500 0.247 0.753
Ce8 0.000 0.245 0.755
P4 0.000 0.000 0.000
```

Results
Energy of formation from the pure elements ... -1.012 eV per atom

---

Respective E values: -4.65, -4.90, -3.09, -3.18, -4.00, -4.03, -3.97, -2.45, -4.52, -3.97, -5.92, -6.54 eV per atom.